Entry 1:
VASP calculation (PBE) on an optimized crystal structure of Cu2ReRh.

formation energy from the elements: 0.22 eV per atom
spin magnetization: 0.00 μB per atom
space-group type: Cmm2
electronic total energy: -6.78 eV per atom

Geometry as POSCAR:
```
Cu2ReRh
1.0
2.780 0.000 0.000
0.000 4.496 0.000
0.000 0.000 8.830
Cu Re Rh
4 2 2
Cartesian
0.000 0.000 0.000
0.000 2.248 2.066
1.390 0.000 2.066
1.390 2.248 0.000
0.000 0.000 4.329
1.390 2.248 4.329
0.000 2.248 6.578
1.390 0.000 6.578
```

Entry 2:
VASP calculation (PBE) on an optimized crystal structure of CuReRh2.

formation energy from the elements: 0.20 eV per atom
spin magnetization: 0.13 μB per atom
space-group type: P4/mmm
electronic total energy: -7.61 eV per atom

Geometry as POSCAR:
```
CuReRh2
1.0
3.886 0.000 0.000
0.000 3.886 0.000
0.000 0.000 3.692
Cu Re Rh
1 1 2
Cartesian
0.000 0.000 0.000
1.943 1.943 0.000
0.000 1.943 1.846
1.943 0.000 1.846
```

Entry 3:
VASP calculation (PBE) on an optimized crystal structure of CuReRh2.

formation energy from the elements: -0.08 eV per atom
spin magnetization: 0.00 μB per atom
space-group type: P4/mmm
electronic total energy: -7.90 eV per atom

Geometry as POSCAR:
```
CuReRh2
1.0
2.764 0.000 0.000
0.000 2.764 0.000
0.000 0.000 7.294
Cu Re Rh
1 1 2
Cartesian
0.000 0.000 0.000
0.000 0.000 3.647
1.382 1.382 1.819
1.382 1.382 5.475
```

Entry 4:
VASP calculation (PBE) on an optimized crystal structure of CuReRh2.

formation energy from the elements: 0.04 eV per atom
spin magnetization: 0.00 μB per atom
space-group type: C2/m
electronic total energy: -7.77 eV per atom

Geometry as POSCAR:
```
CuReRh2
1.0
8.938 0.000 0.000
0.000 2.686 0.000
-0.770 0.000 4.624
Cu Re Rh
2 2 4
Cartesian
0.000 0.000 0.000
4.469 1.343 0.000
-0.385 1.343 2.312
4.084 0.000 2.312
1.659 0.000 3.462
2.040 1.343 1.162
6.509 0.000 1.162
6.128 1.343 3.462
```

Question: Which value of electronic total energy does entry 4 give?
Answer: -7.77 eV per atom

Question: What is the formula in the fourth record?
Answer: CuReRh2